Computed, not measured: Sc6ZnGa2 after structural relaxation at the PBE-GGA level of DFT.

Results
The calculation puts the raw total energy at -0.1907 Ha/atom. The total moment is 0.000 μB per atom. The space group is Immm (71). The calculation puts the energy relative to the elements at -0.153 eV/atom.

The structure in extended XYZ format:
```
9
Lattice="4.634 0.000 -0.177 0.000 6.558 0.000 -2.053 -3.279 7.061" Properties=species:S:1:pos:R:3 pbc="T T T"
Ga 2.405 3.279 2.237
Sc 2.317 4.944 -0.089
Sc 0.088 1.624 2.314
Sc 2.493 1.655 4.569
Sc 2.317 1.614 -0.089
Ga 0.176 0.000 4.647
Sc 0.088 4.934 2.314
Zn 0.000 0.000 0.000
Sc 2.493 -1.655 4.569
```



Computed, not measured: ScZn3Ga after structural relaxation at the PBE-GGA level of DFT.

Results
The calculation puts the raw total energy at -0.0677 Ha/atom. The total moment is 0.000 μB per atom. The space group is Pm-3m (221). The calculation puts the energy relative to the lowest polymorph listed for this composition at 983.4 meV per atom. The calculation puts the energy relative to the elements at 0.794 eV/atom.

The structure in extended XYZ format:
```
5
Lattice="5.265 0.000 0.000 0.000 5.265 0.000 0.000 0.000 5.265" Properties=species:S:1:pos:R:3 pbc="T T T"
Zn 0.000 0.000 2.632
Sc 0.000 0.000 0.000
Zn 0.000 2.632 0.000
Zn 2.632 0.000 0.000
Ga 2.632 2.632 2.632
```



Computed, not measured: Sc2ZnGa8 after structural relaxation at the PBE-GGA level of DFT.

Results
The calculation puts the raw total energy at -0.1389 Ha/atom. The total moment is 0.000 μB per atom. The space group is P4/mmm (123). The calculation puts the energy relative to the elements at -0.312 eV/atom.

The structure in extended XYZ format:
```
11
Lattice="-0.472 -0.336 4.110 4.105 -0.422 0.437 1.053 11.329 1.047" Properties=species:S:1:pos:R:3 pbc="T T T"
Ga 2.198 1.353 0.363
Sc 0.715 7.687 0.710
Ga -0.091 1.396 2.199
Ga 2.960 9.554 1.121
Zn 0.000 0.000 0.000
Ga 2.537 7.369 2.990
Ga 0.290 5.497 2.578
Ga 2.149 3.202 2.604
Ga 0.672 9.597 2.957
Ga 2.579 5.454 0.742
Sc 0.339 3.642 0.337
```



Computed, not measured: Sc2ZnGa6 after structural relaxation at the PBE-GGA level of DFT.

Results
The calculation puts the raw total energy at -0.1406 Ha/atom. The total moment is 0.000 μB per atom. The space group is Cmmm (65). The calculation puts the energy relative to the elements at -0.259 eV/atom.

The structure in extended XYZ format:
```
9
Lattice="3.211 0.000 0.258 0.000 7.266 0.000 -0.578 -3.633 7.159" Properties=species:S:1:pos:R:3 pbc="T T T"
Ga 3.028 1.327 2.515
Ga 1.605 2.236 0.129
Zn 0.000 0.000 0.000
Sc 1.386 3.633 2.845
Ga -0.395 -2.306 4.902
Ga 1.605 5.029 0.129
Ga 3.028 5.938 2.515
Sc 1.247 0.000 4.572
Ga -0.395 2.306 4.902
```



Computed, not measured: Sc2ZnGa4 after structural relaxation at the PBE-GGA level of DFT.

Results
The calculation puts the raw total energy at -0.1506 Ha/atom. The total moment is 0.000 μB per atom. The space group is Cmmm (65). The calculation puts the energy relative to the lowest polymorph listed for this composition at 0.0 meV per atom. The calculation puts the energy relative to the elements at -0.379 eV/atom.

The structure in extended XYZ format:
```
7
Lattice="4.007 0.000 0.000 0.000 5.691 -0.733 0.000 1.086 5.635" Properties=species:S:1:pos:R:3 pbc="T T T"
Zn 2.003 3.389 2.451
Ga 0.000 1.726 1.249
Ga 2.003 0.543 2.817
Sc 0.000 4.612 0.759
Ga 2.003 2.846 -0.367
Ga 0.000 5.051 3.653
Sc 0.000 2.165 4.143
```



Computed, not measured: Zr3ScGa after structural relaxation at the PBE-GGA level of DFT.

Results
The calculation puts the raw total energy at -0.2183 Ha/atom. The total moment is 0.000 μB per atom. The space group is Pm-3m (221). The calculation puts the energy relative to the lowest polymorph listed for this composition at 653.9 meV per atom. The calculation puts the energy relative to the elements at 1.059 eV/atom.

The structure in extended XYZ format:
```
5
Lattice="-1.708 -0.187 4.694 2.370 -4.346 0.690 4.056 2.461 1.574" Properties=species:S:1:pos:R:3 pbc="T T T"
Ga 2.359 -1.036 3.478
Zr 1.185 -2.173 0.345
Zr 2.028 1.230 0.787
Zr -0.854 -0.093 2.347
Sc 0.000 0.000 0.000
```



Computed, not measured: ZrSc3Ga after structural relaxation at the PBE-GGA level of DFT.

Results
The calculation puts the raw total energy at -0.1964 Ha/atom. The total moment is 0.000 μB per atom. The space group is Pm-3m (221). The calculation puts the energy relative to the lowest polymorph listed for this composition at 443.0 meV per atom. The calculation puts the energy relative to the elements at 0.770 eV/atom.

The structure in extended XYZ format:
```
5
Lattice="5.132 0.000 0.000 0.000 5.132 0.000 0.000 0.000 5.132" Properties=species:S:1:pos:R:3 pbc="T T T"
Zr 0.000 0.000 0.000
Ga 2.566 2.566 2.566
Sc 0.000 0.000 2.566
Sc 0.000 2.566 0.000
Sc 2.566 0.000 0.000
```



Computed, not measured: Zr3Sc4Ga4 after structural relaxation at the PBE-GGA level of DFT.

Results
The calculation puts the raw total energy at -0.2250 Ha/atom. The total moment is 0.001 μB per atom. The space group is Immm (71). The calculation puts the energy relative to the elements at -0.388 eV/atom.

The structure in extended XYZ format:
```
11
Lattice="3.268 0.000 0.000 0.000 8.584 0.000 -1.634 -4.292 8.238" Properties=species:S:1:pos:R:3 pbc="T T T"
Zr 0.000 0.000 1.544
Ga 1.634 6.658 0.000
Sc 0.000 -1.613 5.514
Sc 0.000 1.613 5.514
Ga 1.634 1.926 0.000
Sc 1.634 2.679 2.724
Ga 1.634 0.000 3.822
Zr 1.634 4.292 6.695
Zr 0.000 4.292 0.000
Ga 0.000 4.292 4.416
Sc 1.634 5.904 2.724
```



Computed, not measured: ZrSc3Ga4 after structural relaxation at the PBE-GGA level of DFT.

Results
The calculation puts the raw total energy at -0.2024 Ha/atom. The total moment is 0.000 μB per atom. The space group is Pmma (51). The calculation puts the energy relative to the elements at -0.550 eV/atom.

The structure in extended XYZ format:
```
16
Lattice="4.958 0.000 0.000 0.000 6.293 0.000 0.000 0.000 9.679" Properties=species:S:1:pos:R:3 pbc="T T T"
Ga 0.492 1.562 7.259
Zr 0.000 3.147 4.839
Zr 0.000 3.147 0.000
Ga 2.479 4.735 0.000
Sc 0.000 0.000 0.000
Ga 2.479 1.559 4.839
Sc 0.000 0.000 4.839
Ga 2.479 4.735 4.839
Sc 2.033 0.000 2.420
Ga 0.492 4.731 7.259
Ga 4.467 1.562 2.420
Ga 4.467 4.731 2.420
Sc 2.036 3.147 2.420
Sc 2.922 3.147 7.259
Sc 2.925 0.000 7.259
Ga 2.479 1.559 0.000
```



Computed, not measured: ZrSc5Ga3 after structural relaxation at the PBE-GGA level of DFT.

Results
The calculation puts the raw total energy at -0.2188 Ha/atom. The total moment is 0.083 μB per atom. The space group is P6_3/mcm (193). The calculation puts the energy relative to the elements at -0.477 eV/atom.

The structure in extended XYZ format:
```
18
Lattice="-4.194 3.728 2.318 -5.677 -6.121 -0.429 4.635 0.926 6.895" Properties=species:S:1:pos:R:3 pbc="T T T"
Ga -5.751 -2.711 5.880
Sc -0.900 0.441 5.613
Sc 2.059 1.553 5.202
Sc -7.295 -3.020 3.583
Zr -2.097 1.864 1.159
Sc -5.017 0.778 1.597
Sc -4.337 -1.908 3.172
Zr 0.000 0.000 0.000
Ga -6.908 -1.261 1.455
Ga 0.514 1.244 2.904
Sc -4.854 -3.171 0.292
Sc -2.240 -3.772 2.012
Ga -1.739 -2.511 4.865
Sc 1.197 -1.423 4.453
Ga -3.497 1.044 3.919
Sc -1.392 -0.780 2.711
Ga -2.963 -1.132 0.435
Sc -3.844 -0.687 6.073
```



Computed, not measured: ZrSc3Ga3 after structural relaxation at the PBE-GGA level of DFT.

Results
The calculation puts the raw total energy at -0.2064 Ha/atom. The total moment is 0.000 μB per atom. The space group is R-3 (148). The calculation puts the energy relative to the lowest polymorph listed for this composition at 67.6 meV per atom. The calculation puts the energy relative to the elements at -0.384 eV/atom.

The structure in extended XYZ format:
```
14
Lattice="8.152 0.000 0.000 4.076 7.060 0.000 4.076 2.353 4.992" Properties=species:S:1:pos:R:3 pbc="T T T"
Ga 6.884 3.239 1.184
Sc 5.935 2.271 3.643
Sc 9.153 1.569 1.349
Zr 4.076 2.353 0.940
Ga 10.058 4.342 1.184
Zr 12.229 7.060 4.052
Sc 4.934 5.410 1.349
Ga 7.516 6.539 1.184
Ga 8.789 2.875 3.808
Ga 9.421 6.174 3.808
Ga 6.247 5.071 3.808
Sc 7.152 7.845 3.643
Sc 11.370 4.004 3.643
Sc 10.370 7.142 1.349
```



Computed, not measured: ZrSc2Ga2 after structural relaxation at the PBE-GGA level of DFT.

Results
The calculation puts the raw total energy at -0.2183 Ha/atom. The total moment is 0.000 μB per atom. The space group is P4/mbm (127). The calculation puts the energy relative to the lowest polymorph listed for this composition at 0.0 meV per atom. The calculation puts the energy relative to the elements at -0.488 eV/atom.

The structure in extended XYZ format:
```
10
Lattice="7.701 0.000 0.000 0.000 7.701 0.000 0.000 0.000 3.403" Properties=species:S:1:pos:R:3 pbc="T T T"
Zr 3.850 3.850 0.000
Zr 0.000 0.000 0.000
Sc 6.347 2.496 1.702
Ga 4.806 0.955 0.000
Sc 2.496 1.354 1.702
Sc 1.354 5.205 1.702
Sc 5.205 6.347 1.702
Ga 2.895 6.746 0.000
Ga 6.746 4.806 0.000
Ga 0.955 2.895 0.000
```



Computed, not measured: ZrSc3Ga after structural relaxation at the PBE-GGA level of DFT.

Results
The calculation puts the raw total energy at -0.2127 Ha/atom. The total moment is 0.362 μB per atom. The space group is Pm-3m (221). The calculation puts the energy relative to the lowest polymorph listed for this composition at 0.0 meV per atom. The calculation puts the energy relative to the elements at 0.327 eV/atom.

The structure in extended XYZ format:
```
5
Lattice="5.074 0.000 0.000 0.000 5.074 0.000 0.000 0.000 5.074" Properties=species:S:1:pos:R:3 pbc="T T T"
Sc 0.000 2.537 0.000
Ga 0.000 0.000 0.000
Sc 0.000 0.000 2.537
Sc 2.537 0.000 0.000
Zr 2.537 2.537 2.537
```



Computed, not measured: Zr2Sc2Ga after structural relaxation at the PBE-GGA level of DFT.

Results
The calculation puts the raw total energy at -0.2413 Ha/atom. The total moment is 0.000 μB per atom. The space group is P4/mbm (127). The calculation puts the energy relative to the lowest polymorph listed for this composition at 30.7 meV per atom. The calculation puts the energy relative to the elements at -0.009 eV/atom.

The structure in extended XYZ format:
```
10
Lattice="7.277 0.000 0.000 0.000 7.277 0.000 0.000 0.000 4.222" Properties=species:S:1:pos:R:3 pbc="T T T"
Ga 0.000 0.000 0.000
Zr 4.732 6.184 2.111
Sc 2.565 6.203 0.000
Zr 2.545 1.093 2.111
Zr 1.093 4.732 2.111
Sc 6.203 4.712 0.000
Sc 1.074 2.565 0.000
Ga 3.639 3.639 0.000
Sc 4.712 1.074 0.000
Zr 6.184 2.545 2.111
```



Computed, not measured: ZrScGa after structural relaxation at the PBE-GGA level of DFT.

Results
The calculation puts the raw total energy at -0.2336 Ha/atom. The total moment is 0.000 μB per atom. The space group is C2/m (12). The calculation puts the energy relative to the lowest polymorph listed for this composition at 45.4 meV per atom. The calculation puts the energy relative to the elements at -0.387 eV/atom.

The structure in extended XYZ format:
```
12
Lattice="-2.565 5.388 0.088 -0.611 -0.367 4.625 10.311 -1.280 1.261" Properties=species:S:1:pos:R:3 pbc="T T T"
Sc 3.311 3.368 3.072
Ga 1.293 4.496 0.528
Zr 5.437 2.237 0.896
Zr -0.024 2.694 2.578
Zr 7.159 1.046 3.397
Ga 0.992 0.068 2.504
Sc 9.285 -0.084 1.220
Sc 3.824 0.372 2.902
Ga 6.453 -0.389 0.822
Ga 6.143 3.673 3.471
Sc -1.539 4.192 0.129
Zr 2.309 1.870 0.454
```



Computed, not measured: Zr2ScGa3 after structural relaxation at the PBE-GGA level of DFT.

Results
The calculation puts the raw total energy at -0.2179 Ha/atom. The total moment is 0.000 μB per atom. The space group is C2/c (15). The calculation puts the energy relative to the elements at -0.511 eV/atom.

The structure in extended XYZ format:
```
12
Lattice="-1.299 -1.015 5.442 5.509 -0.054 1.305 -1.026 7.603 -1.798" Properties=species:S:1:pos:R:3 pbc="T T T"
Zr -0.838 1.776 3.832
Zr 2.236 1.998 3.147
Ga 3.602 4.343 3.930
Zr 4.022 4.759 1.117
Sc 3.005 -0.920 5.699
Ga 3.647 -0.419 3.008
Ga 0.562 -0.650 3.739
Ga -0.418 2.192 1.019
Sc 1.205 -0.148 1.049
Zr 0.948 4.536 1.802
Ga 2.647 2.408 0.371
Ga 0.537 4.127 4.579
```



Computed, not measured: ZrScGa after structural relaxation at the PBE-GGA level of DFT.

Results
The calculation puts the raw total energy at -0.2352 Ha/atom. The total moment is 0.102 μB per atom. The space group is P6_3/mmc (194). The calculation puts the energy relative to the lowest polymorph listed for this composition at 0.0 meV per atom. The calculation puts the energy relative to the elements at -0.432 eV/atom.

The structure in extended XYZ format:
```
6
Lattice="4.840 -0.001 0.000 -2.420 4.191 0.000 0.000 0.000 6.002" Properties=species:S:1:pos:R:3 pbc="T T T"
Sc 1.211 3.492 1.500
Sc 1.209 0.699 4.501
Ga 1.209 3.493 4.501
Zr -1.210 2.096 3.001
Zr -1.210 2.096 0.000
Ga 1.211 0.698 1.500
```



Computed, not measured: ZrScGa after structural relaxation at the PBE-GGA level of DFT.

Results
The calculation puts the raw total energy at -0.2216 Ha/atom. The total moment is 0.000 μB per atom. The space group is P3m1 (156). The calculation puts the energy relative to the lowest polymorph listed for this composition at 370.8 meV per atom. The calculation puts the energy relative to the elements at -0.061 eV/atom.

The structure in extended XYZ format:
```
3
Lattice="2.917 0.000 0.000 0.000 4.859 0.000 0.000 -2.430 4.208" Properties=species:S:1:pos:R:3 pbc="T T T"
Ga 1.943 2.430 1.403
Zr 0.491 0.000 2.805
Sc 0.483 0.000 0.000
```



Computed, not measured: Zr2Sc2Ga after structural relaxation at the PBE-GGA level of DFT.

Results
The calculation puts the raw total energy at -0.2424 Ha/atom. The total moment is 0.000 μB per atom. The space group is P4/mbm (127). The calculation puts the energy relative to the lowest polymorph listed for this composition at 0.0 meV per atom. The calculation puts the energy relative to the elements at -0.040 eV/atom.

The structure in extended XYZ format:
```
10
Lattice="7.299 0.000 0.000 0.000 7.299 0.000 0.000 0.000 4.318" Properties=species:S:1:pos:R:3 pbc="T T T"
Sc 6.170 2.520 2.159
Zr 6.243 4.707 0.000
Zr 4.707 1.057 0.000
Sc 2.520 1.129 2.159
Zr 1.057 2.593 0.000
Zr 2.593 6.243 0.000
Ga 0.000 0.000 0.000
Sc 4.779 6.170 2.159
Ga 3.650 3.650 0.000
Sc 1.129 4.779 2.159
```



Computed, not measured: ZrSc2Ga2 after structural relaxation at the PBE-GGA level of DFT.

Results
The calculation puts the raw total energy at -0.2171 Ha/atom. The total moment is 0.001 μB per atom. The space group is Immm (71). The calculation puts the energy relative to the lowest polymorph listed for this composition at 32.3 meV per atom. The calculation puts the energy relative to the elements at -0.456 eV/atom.

The structure in extended XYZ format:
```
5
Lattice="-3.743 1.887 -0.289 -2.446 -0.910 -4.814 -4.169 -3.518 0.483" Properties=species:S:1:pos:R:3 pbc="T T T"
Sc -2.739 -0.964 -1.366
Sc -7.618 -1.577 -3.254
Zr 0.000 0.000 0.000
Ga -4.821 -0.729 -3.409
Ga -5.536 -1.811 -1.211
```